DFT (GGA+U) results for NaNiO3 after structural relaxation.

Space-group type: Pm-3m
Calculated total energy, eV for the cell shown: -20.93

Cell: 3.814 3.814 3.814 Å, 90.00 90.00 90.00°
Each line ends with the local moment (μB).
Element x y z (fractional)
Ni (0.500, 0.500, 0.500)  1.38
Na (0.000, 0.000, 0.000)  -0.01
O (0.000, 0.500, 0.500)  0.70
O (0.500, 0.000, 0.500)  0.42
O (0.500, 0.500, 0.000)  0.25